--- i ---
Compound: Ti2Zn3Ni4
Source: Alexandria via LeMat-Bulk
Functional: PBE
Structure: relaxed

Computed properties:
**Total moment**: 0.000 μB/f.u.

extended XYZ file:
```
18
Lattice="2.488 -7.530 0.000 2.488 7.530 0.000 0.000 0.000 6.532" Properties=species:S:1:pos:R:3 pbc="T T T"
Ti 2.488 6.058 5.905
Ti 2.488 1.472 2.639
Ti 2.488 -1.472 3.893
Ti 2.488 -6.058 0.627
Zn 0.000 0.000 3.266
Zn 1.244 3.599 4.899
Zn 1.244 -3.599 1.633
Zn 2.488 0.000 0.000
Zn 3.732 3.599 4.899
Zn 3.732 -3.599 1.633
Ni 2.488 5.156 3.456
Ni 1.244 1.132 4.899
Ni 1.244 -1.132 1.633
Ni 2.488 2.373 0.190
Ni 2.488 -2.373 6.342
Ni 3.732 1.132 4.899
Ni 3.732 -1.132 1.633
Ni 2.488 -5.156 3.076
```

--- ii ---
Compound: Ti2Zn3Ni4
Source: Alexandria via LeMat-Bulk
Functional: PBE
Structure: relaxed

Computed properties:
**Total moment**: 0.000 μB/f.u.

extended XYZ file:
```
9
Lattice="3.625 -2.067 0.000 3.625 2.067 0.000 -0.142 0.000 7.743" Properties=species:S:1:pos:R:3 pbc="T T T"
Ti 1.186 0.000 1.660
Ti 5.922 0.000 6.083
Zn 1.119 0.000 4.405
Zn 3.625 0.000 0.000
Zn 5.989 0.000 3.338
Ni 1.074 0.000 6.896
Ni 3.521 0.000 5.152
Ni 3.587 0.000 2.591
Ni 6.034 0.000 0.847
```

The structure with the greatest stability is ii.